# 1
# PBE AcDyEr2S6, optimized geometry
# Calculated total energy ... -6.338 eV per atom
data_AcDyEr2S6
_chemical_formula_sum 'Ac3 Dy3 Er6 S18'
_cell_length_a 7.0454
_cell_length_b 7.0454
_cell_length_c 18.4897
_cell_angle_alpha 90.00
_cell_angle_beta 90.00
_cell_angle_gamma 120.00
_space_group_name_H-M_alt 'R 3'
_space_group_IT_number 146
_space_group_name_Hall 'R 3'
loop_
_atom_site_label
_atom_site_type_symbol
_atom_site_fract_x
_atom_site_fract_y
_atom_site_fract_z
_atom_site_occupancy
Ac1 Ac 0.0000 0.0000 0.0000 1
Dy1 Dy 0.0000 0.0000 0.4850 1
Er1 Er 0.0000 0.0000 0.2815 1
Er2 Er 0.0000 0.0000 0.7886 1
S1 S 0.0108 0.3117 0.8810 1
S2 S 0.0237 0.6165 0.0485 1

***

# 2
# PBE ZnSiMo2, optimized geometry
# Calculated total energy ... -6.944 eV per atom
data_ZnSiMo2
_chemical_formula_sum 'Zn2 Si2 Mo4'
_cell_length_a 3.3120
_cell_length_b 4.3405
_cell_length_c 8.5508
_cell_angle_alpha 90.00
_cell_angle_beta 90.00
_cell_angle_gamma 90.00
_space_group_name_H-M_alt 'C m m 2'
_space_group_IT_number 35
loop_
_space_group_symop_operation_xyz
'x,y,z'
'-x,-y,z'
'-x,y,z'
'x,-y,z'
'x+1/2,y+1/2,z'
'-x+1/2,-y+1/2,z'
'-x+1/2,y+1/2,z'
'x+1/2,-y+1/2,z'
loop_
_atom_site_label
_atom_site_type_symbol
_atom_site_fract_x
_atom_site_fract_y
_atom_site_fract_z
_atom_site_occupancy
Zn1 Zn 0.0000 0.0000 0.0000 1
Si1 Si 0.0000 0.5000 0.7377 1
Mo1 Mo 0.0000 0.0000 0.5084 1
Mo2 Mo 0.0000 0.5000 0.2520 1

***

# 3
# PBE TiIrAu, optimized geometry
# Calculated formation energy ... -484.5 meV per atom
data_TiIrAu
_chemical_formula_sum 'Ti2 Ir2 Au2'
_cell_length_a 3.2635
_cell_length_b 3.2635
_cell_length_c 9.1642
_cell_angle_alpha 90.00
_cell_angle_beta 90.00
_cell_angle_gamma 90.00
_space_group_name_H-M_alt 'I 4 m m'
_space_group_IT_number 107
_space_group_name_Hall 'I 4 -2'
loop_
_atom_site_label
_atom_site_type_symbol
_atom_site_fract_x
_atom_site_fract_y
_atom_site_fract_z
_atom_site_occupancy
Ti1 Ti 0.0000 0.0000 0.0000 1
Ir1 Ir 0.0000 0.0000 0.3698 1
Au1 Au 0.0000 0.0000 0.6778 1

***

# 4
# PBE CdSnH2, optimized geometry
# Calculated total energy ... -2.610 eV per atom
data_CdSnH2
_chemical_formula_sum 'Cd1 Sn1 H2'
_cell_length_a 3.4430
_cell_length_b 3.1147
_cell_length_c 6.4142
_cell_angle_alpha 90.00
_cell_angle_beta 90.21
_cell_angle_gamma 90.00
_space_group_name_H-M_alt 'P 1 m 1'
_space_group_IT_number 6
loop_
_space_group_symop_operation_xyz
'x,y,z'
'x,-y,z'
loop_
_atom_site_label
_atom_site_type_symbol
_atom_site_fract_x
_atom_site_fract_y
_atom_site_fract_z
_atom_site_occupancy
Cd1 Cd 0.0000 0.0000 0.0000 1
Sn1 Sn 0.0163 0.5000 0.5237 1
H1 H 0.0031 0.5000 0.2102 1
H2 H 0.4996 0.0000 0.8967 1

***

# 5
# PBE CaHfOs2, optimized geometry
# Calculated formation energy ... -32.9 meV per atom
data_CaHfOs2
_chemical_formula_sum 'Ca4 Hf4 Os8'
_cell_length_a 11.0260
_cell_length_b 4.3667
_cell_length_c 7.1577
_cell_angle_alpha 90.00
_cell_angle_beta 100.23
_cell_angle_gamma 90.00
_space_group_name_H-M_alt 'C 1 m 1'
_space_group_IT_number 8
loop_
_space_group_symop_operation_xyz
'x,y,z'
'x,-y,z'
'x+1/2,y+1/2,z'
'x+1/2,-y+1/2,z'
loop_
_atom_site_label
_atom_site_type_symbol
_atom_site_fract_x
_atom_site_fract_y
_atom_site_fract_z
_atom_site_occupancy
Ca1 Ca 0.0000 0.0000 0.0000 1
Ca2 Ca 0.0878 0.0000 0.4889 1
Hf1 Hf 0.2311 0.5000 0.2101 1
Hf2 Hf 0.2867 0.0000 0.9202 1
Os1 Os 0.1542 0.5000 0.8071 1
Os2 Os 0.3188 0.5000 0.6064 1
Os3 Os 0.3615 0.0000 0.3023 1
Os4 Os 0.4318 0.0000 0.6637 1

***

# 6
# PBE FeRuPt14, optimized geometry
# Calculated formation energy ... -23.5 meV per atom
data_FeRuPt14
_chemical_formula_sum 'Fe2 Ru2 Pt28'
_cell_length_a 9.1920
_cell_length_b 5.5799
_cell_length_c 9.6473
_cell_angle_alpha 90.00
_cell_angle_beta 90.00
_cell_angle_gamma 90.00
_space_group_name_H-M_alt 'A m m 2'
_space_group_IT_number 38
loop_
_space_group_symop_operation_xyz
'x,y,z'
'-x,-y,z'
'-x,y,z'
'x,-y,z'
'x,y+1/2,z+1/2'
'-x,-y+1/2,z+1/2'
'-x,y+1/2,z+1/2'
'x,-y+1/2,z+1/2'
loop_
_atom_site_label
_atom_site_type_symbol
_atom_site_fract_x
_atom_site_fract_y
_atom_site_fract_z
_atom_site_occupancy
Fe1 Fe 0.0000 0.0000 0.0000 1
Ru1 Ru 0.0000 0.0000 0.4993 1
Pt1 Pt 0.0000 0.2498 0.2527 1
Pt2 Pt 0.2399 0.2493 0.0817 1
Pt3 Pt 0.2453 0.0000 0.8350 1
Pt4 Pt 0.2467 0.0000 0.3349 1
Pt5 Pt 0.5000 0.0000 0.1640 1
Pt6 Pt 0.5000 0.0000 0.6638 1
Pt7 Pt 0.5000 0.2504 0.4143 1

***

# 7
# PBE Tb3AlCo, optimized geometry
# Calculated formation energy ... -219.8 meV per atom
data_Tb3AlCo
_chemical_formula_sum 'Tb12 Al4 Co4'
_cell_length_a 9.9041
_cell_length_b 6.3534
_cell_length_c 8.6777
_cell_angle_alpha 90.00
_cell_angle_beta 116.52
_cell_angle_gamma 90.00
_space_group_name_H-M_alt 'C 1 2/m 1'
_space_group_IT_number 12
loop_
_space_group_symop_operation_xyz
'x,y,z'
'-x,-y,-z'
'-x,y,-z'
'x,-y,z'
'x+1/2,y+1/2,z'
'-x+1/2,-y+1/2,-z'
'-x+1/2,y+1/2,-z'
'x+1/2,-y+1/2,z'
loop_
_atom_site_label
_atom_site_type_symbol
_atom_site_fract_x
_atom_site_fract_y
_atom_site_fract_z
_atom_site_occupancy
Tb1 Tb 0.0269 0.0000 0.2292 1
Tb2 Tb 0.1852 0.5000 0.8722 1
Tb3 Tb 0.2008 0.5000 0.3223 1
Al1 Al 0.0000 0.2958 0.5000 1
Co1 Co 0.0000 0.3083 0.0000 1

***

# 8
# PBE Mn2IrPb, optimized geometry
# Calculated formation energy ... 370.2 meV per atom
data_Mn2IrPb
_chemical_formula_sum 'Mn2 Ir1 Pb1'
_cell_length_a 3.0708
_cell_length_b 3.0708
_cell_length_c 7.3369
_cell_angle_alpha 90.00
_cell_angle_beta 90.00
_cell_angle_gamma 90.00
_space_group_name_H-M_alt 'P 4 m m'
_space_group_IT_number 99
loop_
_space_group_symop_operation_xyz
'x,y,z'
'-y,x,z'
'-x,-y,z'
'y,-x,z'
'-x,y,z'
'y,x,z'
'x,-y,z'
'-y,-x,z'
loop_
_atom_site_label
_atom_site_type_symbol
_atom_site_fract_x
_atom_site_fract_y
_atom_site_fract_z
_atom_site_occupancy
Mn1 Mn 0.0000 0.0000 0.0000 1
Mn2 Mn 0.5000 0.5000 0.2116 1
Ir1 Ir 0.5000 0.5000 0.8205 1
Pb1 Pb 0.0000 0.0000 0.5198 1

***

# 9
# PBE LiAl2V2, optimized geometry
# Calculated formation energy ... 163.2 meV per atom
data_LiAl2V2
_chemical_formula_sum 'Li2 Al4 V4'
_cell_length_a 7.2415
_cell_length_b 7.2415
_cell_length_c 2.9883
_cell_angle_alpha 90.00
_cell_angle_beta 90.00
_cell_angle_gamma 90.00
_space_group_name_H-M_alt 'P 4/m b m'
_space_group_IT_number 127
_space_group_name_Hall '-P 4 2ab'
loop_
_atom_site_label
_atom_site_type_symbol
_atom_site_fract_x
_atom_site_fract_y
_atom_site_fract_z
_atom_site_occupancy
Li1 Li 0.0000 0.0000 0.0000 1
Al1 Al 0.1284 0.3716 0.0000 1
V1 V 0.1686 0.6686 0.5000 1

***

# 10
# PBE SrTl2Cu, optimized geometry
# Calculated formation energy ... -117.2 meV per atom
data_SrTl2Cu
_chemical_formula_sum 'Sr3 Tl6 Cu3'
_cell_length_a 4.6043
_cell_length_b 4.6043
_cell_length_c 18.4023
_cell_angle_alpha 90.00
_cell_angle_beta 90.00
_cell_angle_gamma 120.00
_space_group_name_H-M_alt 'R -3 m'
_space_group_IT_number 166
_space_group_name_Hall '-R 3 2"'
loop_
_atom_site_label
_atom_site_type_symbol
_atom_site_fract_x
_atom_site_fract_y
_atom_site_fract_z
_atom_site_occupancy
Sr1 Sr 0.0000 0.0000 0.0000 1
Tl1 Tl 0.0000 0.0000 0.2184 1
Cu1 Cu 0.0000 0.0000 0.5000 1

***

# 11
# PBE CrReRu, optimized geometry
# Calculated formation energy ... 602.8 meV per atom
data_CrReRu
_chemical_formula_sum 'Cr4 Re4 Ru4'
_cell_length_a 5.7050
_cell_length_b 5.7050
_cell_length_c 5.7050
_cell_angle_alpha 90.00
_cell_angle_beta 90.00
_cell_angle_gamma 90.00
_space_group_name_H-M_alt 'F -4 3 m'
_space_group_IT_number 216
_space_group_name_Hall 'F -4 2 3'
loop_
_atom_site_label
_atom_site_type_symbol
_atom_site_fract_x
_atom_site_fract_y
_atom_site_fract_z
_atom_site_occupancy
Cr1 Cr 0.0000 0.0000 0.0000 1
Re1 Re 0.2500 0.2500 0.7500 1
Ru1 Ru 0.2500 0.2500 0.2500 1

***

# 12
# PBE Tb2Si4Mo3, optimized geometry
# Calculated total energy ... -7.720 eV per atom
data_Tb2Si4Mo3
_chemical_formula_sum 'Tb4 Si8 Mo6'
_cell_length_a 6.8764
_cell_length_b 6.9366
_cell_length_c 6.7745
_cell_angle_alpha 90.00
_cell_angle_beta 108.94
_cell_angle_gamma 90.00
_space_group_name_H-M_alt 'P 1 21/c 1'
_space_group_IT_number 14
loop_
_space_group_symop_operation_xyz
'x,y,z'
'-x,-y,-z'
'-x,y+1/2,-z+1/2'
'x,-y+1/2,z+1/2'
loop_
_atom_site_label
_atom_site_type_symbol
_atom_site_fract_x
_atom_site_fract_y
_atom_site_fract_z
_atom_site_occupancy
Tb1 Tb 0.1902 0.1695 0.0617 1
Si1 Si 0.0907 0.5454 0.8688 1
Si2 Si 0.4949 0.6316 0.6281 1
Mo1 Mo 0.2504 0.6623 0.2490 1
Mo2 Mo 0.5000 0.0000 0.5000 1

***

| no. | ρ (kg/m3) | total magnetic moment (μB per formula unit) |
| --- | --- | --- |
| 1 | 5744 | 0.00 |
| 2 | 7710 | 0.00 |
| 3 | 14871 | 0.00 |
| 4 | 5628 | 0.00 |
| 5 | 11732 | 0.00 |
| 6 | 19384 | 5.37 |
| 7 | 7650 | 0.00 |
| 8 | 12224 | 6.45 |
| 9 | 3450 | 1.91 |
| 10 | 8254 | 0.00 |
| 11 | 12136 | 0.00 |
| 12 | 7802 | 0.00 |